Sm2SO2: optimized geometry, PBE-GGA.

Unit cell a=3.9195 b=3.9195 c=6.7629 alpha=90.00 beta=90.00 gamma=120.00
Fractional coordinates of all 5 atoms:
Sm: 0.3333 0.6667 0.2812
Sm: 0.6667 0.3333 0.7188
S: 0.0000 0.0000 0.0000
O: 0.3333 0.6667 0.6295
O: 0.6667 0.3333 0.3705

Output
- Electronic total energy: -7.821 eV per atom
- Formation energy from raw total energies: -3.125 eV/atom